A plane-wave DFT calculation with PBE-GGA was carried out for a geometry-optimized BeCdSb3 structure.

abc: 5.4988 5.4988 5.4988
angles: 90.00 90.00 90.00
Last column: nearest neighbours and their distance in Å.
Atoms (fractional coordinates):
Be1 0.0000 0.0000 0.0000  12 Sb 3.89
Cd1 0.5000 0.5000 0.5000  6 Sb 2.75
Sb1 0.0000 0.5000 0.5000  2 Cd 2.75
Sb2 0.5000 0.0000 0.5000  2 Cd 2.75
Sb3 0.5000 0.5000 0.0000  2 Cd 2.75

Computed properties:
Total magnetic moment: 0.00 μB per cell
SG: Pm-3m (221)
Final energy: -10.54 eV for the cell shown
Fermi-level density of states: 4.64 states/eV/f.u.